# SmSnB | the Open Quantum Materials Database | PBE | relaxed
# E above lowest polymorph = 0.7942 eV per atom
# magnetic moment = 0.1 Bohr magnetons per cell
data_SmSnB
_space_group_name_H-M_alt 'F -4 3 m'
_space_group_IT_number 216
_space_group_name_Hall 'F -4 2 3'
_cell_length_a 6.6763
_cell_length_b 6.6763
_cell_length_c 6.6763
_cell_angle_alpha 90.00
_cell_angle_beta 90.00
_cell_angle_gamma 90.00
loop_
_atom_site_label
_atom_site_fract_x
_atom_site_fract_y
_atom_site_fract_z
Sm1 0.0000 0.0000 0.0000
Sn1 0.2500 0.2500 0.7500
B1 0.0000 0.0000 0.5000